First-principles (SCAN) data for a PBEsol-optimized structure of Zn3NF, as listed in the Alexandria database.

Properties
calculated total energy	-9.91	eV per atom
V	14.109	A^3/atom
energy relative to the elements, uncorrected	3.8	eV/f.u.

The structure in CIF format:
```
data_Zn3NF
_chemical_formula_sum 'Zn3 N1 F1'
_symmetry_space_group_name_H-M 'P m -3 m'
_symmetry_Int_Tables_number 221
_symmetry_space_group_name_Hall '-P 4 2 3'
_cell_length_a 4.1319
_cell_length_b 4.1319
_cell_length_c 4.1319
_cell_angle_alpha 90.00
_cell_angle_beta 90.00
_cell_angle_gamma 90.00
loop_
_atom_site_label
_atom_site_type_symbol
_atom_site_fract_x
_atom_site_fract_y
_atom_site_fract_z
Zn1 Zn 0.0000 0.0000 0.5000
N1 N 0.5000 0.5000 0.5000
F1 F 0.0000 0.0000 0.0000
```